An optimized crystal structure of Ni2AgRu, computed with PBE-GGA.

Cell lengths 4.760, 4.760, 4.760 Å; angles 134.42, 134.42, 66.44 degrees
Element x y z (fractional)
Ni1 0.000 0.000 0.000
Ni2 0.750 0.250 0.500
Ag1 0.500 0.500 0.000
Ru1 0.250 0.750 0.500

Calculated values
Symmetry: No. 119
Calculated total energy: -0.4056 Ry/atom
ΔE to the lowest computed polymorph: 0.82 eV/f.u.
Energy of formation from the pure elements: 0.404 eV/atom